[1]
TbTm3Sb3: optimized geometry, PBE-GGA.

space-group type: R-3
energy above the most stable polymorph in this dataset: 87.0 meV per atom
energy relative to the elements, uncorrected: -0.8536 eV/atom

a b c (Å): 8.8901 8.8901 7.9592
angles (deg): 56.05 56.05 60.00
With the nearest neighbours (Å) after each atom.
Positions (direct):
Tb 0.6657 0.6657 0.0030  6 Sb 3.14-3.17
Tb 0.3343 0.3343 0.9970  6 Sb 3.14-3.17
Tm 0.0850 0.3425 0.7503  5 Sb 3.03-3.24
Tm 0.3425 0.8221 0.7503  5 Sb 3.03-3.24
Tm 0.6575 0.1779 0.2497  5 Sb 3.03-3.24
Tm 0.1779 0.9150 0.2497  5 Sb 3.03-3.24
Tm 0.8221 0.0850 0.7503  5 Sb 3.03-3.24
Tm 0.9150 0.6575 0.2497  5 Sb 3.03-3.24
Sb 0.9202 0.3006 0.2504  5 Tm 3.03-3.24, 2 Tb 3.14-3.17
Sb 0.6994 0.4712 0.7496  5 Tm 3.03-3.24, 2 Tb 3.14-3.17
Sb 0.3006 0.5288 0.2504  5 Tm 3.03-3.24, 2 Tb 3.14-3.17
Sb 0.4712 0.0798 0.7496  5 Tm 3.03-3.24, 2 Tb 3.14-3.17
Sb 0.5288 0.9202 0.2504  5 Tm 3.03-3.24, 2 Tb 3.14-3.17
Sb 0.0798 0.6994 0.7496  5 Tm 3.03-3.24, 2 Tb 3.14-3.17



[2]
BeCdP2: optimized geometry, PBE-GGA.

space-group type: Cm
energy above the most stable polymorph in this dataset: 0.0 meV per atom

a b c (Å): 3.9304 3.9304 6.0791
angles (deg): 72.37 72.37 53.42
With the nearest neighbours (Å) after each atom.
Positions (direct):
P 0.0668 0.0668 0.0443  2 Be 2.27, 1 P 2.28
P 0.1329 0.1329 0.3857  3 Be 2.24-2.28, 1 P 2.28
Be 0.4699 0.4699 0.2921  5 P 2.24-2.28
Cd 0.8304 0.8304 0.7779  4 P 2.60-2.68



[3]
Mg4Os5: optimized geometry, PBE-GGA.

calculated total energy: -6.37 eV per atom
space-group type: P6_3/mcm

a b c (Å): 7.8100 7.8100 5.2199
angles (deg): 90.00 90.00 120.00
With the nearest neighbours (Å) after each atom.
Positions (direct):
Os 0.0000 0.3399 0.7500  5 Mg 2.54-2.63
Os 0.3333 0.6667 0.5000  8 Os 2.61-2.89, 6 Mg 2.91
Os 0.3333 0.6667 0.0000  8 Os 2.61-2.89, 6 Mg 2.91
Os 0.3399 0.0000 0.7500  5 Mg 2.54-2.63
Os 0.3399 0.3399 0.2500  5 Mg 2.54-2.63
Os 0.6601 0.0000 0.2500  5 Mg 2.54-2.63
Os 0.0000 0.6601 0.2500  5 Mg 2.54-2.63
Os 0.6667 0.3333 0.0000  8 Os 2.61-2.89, 6 Mg 2.91
Os 0.6601 0.6601 0.7500  5 Mg 2.54-2.63
Os 0.6667 0.3333 0.5000  8 Os 2.61-2.89, 6 Mg 2.91
Mg 0.0000 0.0000 0.5000  8 Mg 2.61-2.92
Mg 0.6656 0.6656 0.2500  5 Os 2.54-2.63
Mg 0.3344 0.0000 0.2500  5 Os 2.54-2.63
Mg 0.6656 0.0000 0.7500  5 Os 2.54-2.63
Mg 0.0000 0.6656 0.7500  5 Os 2.54-2.63
Mg 0.0000 0.3344 0.2500  5 Os 2.54-2.63
Mg 0.3344 0.3344 0.7500  5 Os 2.54-2.63
Mg 0.0000 0.0000 0.0000  8 Mg 2.61-2.92



Calculated DOS(E_F) (states/eV/f.u.), listed in the same order as above: 4.84, 1.28, 9.18
Calculated mass density (g/cm3), listed in the same order as above: 8.2, 4.3, 12.6